Entry 1:
Below is Mg2GaCo after structural relaxation, with properties calculated at the PBE-GGA level.

Values from the calculation:
calculated volume = 244 Å³ per cell
energy = -3.3043 eV/atom
crystal system = cubic

Cell and atoms, written as CIF:
```
data_Mg2GaCo
_chemical_formula_sum 'Mg8 Ga4 Co4'
_cell_length_a 6.2452
_cell_length_b 6.2452
_cell_length_c 6.2452
_cell_angle_alpha 90.00
_cell_angle_beta 90.00
_cell_angle_gamma 90.00
_space_group_name_H-M_alt 'F -4 3 m'
_space_group_IT_number 216
_space_group_name_Hall 'F -4 2 3'
loop_
_atom_site_label
_atom_site_fract_x
_atom_site_fract_y
_atom_site_fract_z
Mg1 0.0000 0.0000 0.0000
Mg2 0.2500 0.2500 0.2500
Ga1 0.0000 0.0000 0.5000
Co1 0.2500 0.2500 0.7500
```

---

Entry 2:
Below is UBAs after structural relaxation, with properties calculated at the PBE-GGA level.

Values from the calculation:
calculated volume = 200 Å³ per cell
excess energy over the best structure of this formula in the dataset = 0.000 eV per formula unit
crystal system = cubic

Cell and atoms, written as CIF:
```
data_UBAs
_chemical_formula_sum 'U4 B4 As4'
_cell_length_a 5.8508
_cell_length_b 5.8508
_cell_length_c 5.8508
_cell_angle_alpha 90.00
_cell_angle_beta 90.00
_cell_angle_gamma 90.00
_space_group_name_H-M_alt 'F -4 3 m'
_space_group_IT_number 216
_space_group_name_Hall 'F -4 2 3'
loop_
_atom_site_label
_atom_site_fract_x
_atom_site_fract_y
_atom_site_fract_z
U1 0.0000 0.0000 0.0000
B1 0.2500 0.2500 0.7500
As1 0.0000 0.0000 0.5000
```

---

Entry 3:
Below is DyHoSe2 after structural relaxation, with properties calculated at the PBE-GGA level.

Values from the calculation:
calculated volume = 94 Å³ per cell
energy = -5.7704 eV/atom
crystal system = tetragonal

Cell and atoms, written as CIF:
```
data_DyHoSe2
_chemical_formula_sum 'Dy1 Ho1 Se2'
_cell_length_a 4.0531
_cell_length_b 4.0531
_cell_length_c 5.7373
_cell_angle_alpha 90.00
_cell_angle_beta 90.00
_cell_angle_gamma 90.00
_space_group_name_H-M_alt 'P 4/m m m'
_space_group_IT_number 123
_space_group_name_Hall '-P 4 2'
loop_
_atom_site_label
_atom_site_fract_x
_atom_site_fract_y
_atom_site_fract_z
Dy1 0.0000 0.0000 0.0000
Ho1 0.5000 0.5000 0.5000
Se1 0.0000 0.0000 0.5000
Se2 0.5000 0.5000 0.0000
```

---

Entry 4:
Below is Ta4ZnC2S after structural relaxation, with properties calculated at the PBE-GGA level.

Values from the calculation:
calculated volume = 113 Å³ per cell
energy = -9.4453 eV/atom
crystal system = hexagonal

Cell and atoms, written as CIF:
```
data_Ta4ZnC2S
_chemical_formula_sum 'Ta4 Zn1 C2 S1'
_cell_length_a 3.2055
_cell_length_b 3.2055
_cell_length_c 12.6546
_cell_angle_alpha 90.00
_cell_angle_beta 90.00
_cell_angle_gamma 120.00
_space_group_name_H-M_alt 'P -6 m 2'
_space_group_IT_number 187
_space_group_name_Hall 'P -6 2'
loop_
_atom_site_label
_atom_site_fract_x
_atom_site_fract_y
_atom_site_fract_z
Ta1 0.0000 0.0000 0.1425
Ta2 0.6667 0.3333 0.3276
Zn1 0.0000 0.0000 0.5000
C1 0.3333 0.6667 0.2384
S1 0.6667 0.3333 0.0000
```

---

Entry 5:
Below is FeCuBiMo after structural relaxation, with properties calculated at the PBE-GGA level.

Values from the calculation:
calculated volume = 265 Å³ per cell
excess energy over the best structure of this formula in the dataset = 0.000 eV per formula unit
crystal system = cubic

Cell and atoms, written as CIF:
```
data_FeCuBiMo
_chemical_formula_sum 'Fe4 Cu4 Bi4 Mo4'
_cell_length_a 6.4264
_cell_length_b 6.4264
_cell_length_c 6.4264
_cell_angle_alpha 90.00
_cell_angle_beta 90.00
_cell_angle_gamma 90.00
_space_group_name_H-M_alt 'F -4 3 m'
_space_group_IT_number 216
_space_group_name_Hall 'F -4 2 3'
loop_
_atom_site_label
_atom_site_fract_x
_atom_site_fract_y
_atom_site_fract_z
Fe1 0.0000 0.0000 0.0000
Cu1 0.2500 0.2500 0.7500
Bi1 0.0000 0.0000 0.5000
Mo1 0.2500 0.2500 0.2500
```

---

Entry 6:
Below is PmErB4 after structural relaxation, with properties calculated at the PBE-GGA level.

Values from the calculation:
calculated volume = 149 Å³ per cell
excess energy over the best structure of this formula in the dataset = 0.137 eV per formula unit
crystal system = orthorhombic

Cell and atoms, written as CIF:
```
data_PmErB4
_chemical_formula_sum 'Pm2 Er2 B8'
_cell_length_a 3.3058
_cell_length_b 5.7321
_cell_length_c 7.8825
_cell_angle_alpha 90.00
_cell_angle_beta 90.00
_cell_angle_gamma 90.00
_space_group_name_H-M_alt 'I m m m'
_space_group_IT_number 71
_space_group_name_Hall '-I 2 2'
loop_
_atom_site_label
_atom_site_fract_x
_atom_site_fract_y
_atom_site_fract_z
Pm1 0.0000 0.0000 0.0000
Er1 0.0000 0.0000 0.5000
B1 0.0000 0.3335 0.2482
```

---

What is the calculated volume in the second record?
200 Å³ per cell

---

Which value of calculated volume does entry 6 give?
149 Å³ per cell

---

The highest calculated volume belongs to which entry?
FeCuBiMo